w) GaSiTc2: relaxed, PBE.

Unit cell a=2.8830 b=2.8830 c=23.8749 alpha=90.00 beta=90.00 gamma=120.00
Space group R3m (No. 160, hexagonal axes)
One atom of each set of equivalent atoms:
Ga 0.0000 0.0000 0.0000 x3
Si 0.0000 0.0000 0.1666 x3
Tc 0.0000 0.0000 0.5797 x3
Tc 0.0000 0.0000 0.7538 x3

x) GaSiTc2: relaxed, PBE.

Unit cell a=2.743 b=4.325 c=11.041 alpha=90.00 beta=90.00 gamma=90.00
Space group Immm (No. 71)
One atom of each set of equivalent atoms:
Ga 0.000 0.000 0.000 x2
Si 0.000 0.000 0.500 x2
Tc 0.000 0.000 0.288 x4

y) GaSiTc2: relaxed, PBE.

Unit cell a=7.049 b=7.049 c=5.114 alpha=90.00 beta=90.00 gamma=90.00
Space group I-42d (No. 122)
One atom of each set of equivalent atoms:
Ga 0.000 0.000 0.000 x4
Si 0.000 0.000 0.500 x4
Tc 0.192 0.250 0.625 x8

Which is most stable, and by how much? w), by 47.0 kJ/mol of atoms.

w) GaSiTc2: relaxed, PBE.

Unit cell a=2.958 b=7.693 c=5.134 alpha=90.00 beta=90.00 gamma=90.00
Space group Pmmn (No. 59, origin choice 2)
One atom of each set of equivalent atoms:
Ga 0.250 0.250 0.016 x2
Si 0.250 0.250 0.502 x2
Tc 0.250 0.538 0.272 x4

x) GaSiTc2: relaxed, PBE.

Unit cell a=6.033 b=6.033 c=6.033 alpha=90.00 beta=90.00 gamma=90.00
Space group Fm-3m (No. 225)
One atom of each set of equivalent atoms:
Ga 0.000 0.000 0.000 x4
Si 0.000 0.000 0.500 x4
Tc 0.250 0.250 0.250 x8

y) GaSiTc2: relaxed, PBE.

Unit cell a=2.8729 b=2.8729 c=24.0797 alpha=90.00 beta=90.00 gamma=120.00
Space group R-3m (No. 166, hexagonal axes)
One atom of each set of equivalent atoms:
Ga 0.0000 0.0000 0.0000 x3
Si 0.0000 0.0000 0.5000 x3
Tc 0.0000 0.0000 0.2457 x6

z) GaSiTc2: relaxed, PBE.

Unit cell a=2.990 b=2.990 c=6.191 alpha=90.00 beta=90.00 gamma=90.00
Space group P4/mmm (No. 123)
One atom of each set of equivalent atoms:
Ga 0.000 0.000 0.000 x1
Si 0.000 0.000 0.500 x1
Tc 0.500 0.500 0.271 x2

Which is most stable, and by how much? w), by 1.7 kJ/mol of atoms.